! GGA-PBE PmHoPd, optimized geometry; values from VASP
! - E above lowest polymorph: 84 meV/atom
! - Space group: F-43m (216)
! - Density: 8.11 g/cm3
&SYSTEM
  ibrav = 0, nat = 3, ntyp = 3
/
ATOMIC_SPECIES
Ho 164.93 Ho.upf
Pd 106.42 Pd.upf
Pm 145.00 Pm.upf
CELL_PARAMETERS angstrom
-2.4598 1.6457 -3.9566
-4.9349 -0.2203 -0.1088
-2.6654 4.1498 0.2979
ATOMIC_POSITIONS crystal
Ho 0.5000 0.5000 0.5000
Pd 0.2500 0.2500 0.2500
Pm 0.0000 0.0000 0.0000